Computed, not measured: an optimized crystal structure of SmMgGa2Pd at the PBE level of DFT.

Properties
The uncorrected energy comes out at -20.7 eV/cell.

abc: 4.107 4.107 6.581
angles: 108.18 108.18 90.00
Positions (direct):
1 Sm 0.000 0.000 0.000
2 Mg 0.750 0.250 0.500
3 Ga 0.606 0.606 0.212
4 Ga 0.394 0.394 0.788
5 Pd 0.250 0.750 0.500

Computed, not measured: an optimized crystal structure of SmMgGaPd at the PBE level of DFT.

Properties
The uncorrected energy comes out at -17.0 eV/cell.

abc: 4.880 4.880 4.880
angles: 60.00 60.00 60.00
Positions (direct):
1 Mg 0.500 0.500 0.500
2 Ga 0.250 0.250 0.250
3 Pd 0.750 0.750 0.750
4 Sm 0.000 0.000 0.000

Question: What is the formula in the first record?
Answer: SmMgGa2Pd